Compound: CrNi2Au
Source: the Alexandria database
Functional: PBE-GGA
Structure: relaxed

Cell: 2.8960 3.3903 5.4184 Å, 90.00 90.00 90.00°
Closest atoms and distances in Å follow each position.
Fractional positions:
Cr 0.0000 0.0000 0.0000  5 Ni 2.37-2.51
Ni 0.0000 0.0000 0.4381  1 Cr 2.37, 4 Ni 2.54
Ni 0.5000 0.5000 0.2141  4 Cr 2.51, 4 Ni 2.54, 2 Au 2.69-2.73
Au 0.5000 0.5000 0.7108  6 Ni 2.67-2.73, 4 Cr 2.73, 2 Au 2.90

Output
Energy: -5.97 eV/atom
Spin magnetization: 2.6 μB per formula unit
Crystal system: orthorhombic
Symmetry: Pmm2
Calculated formation energy: 151 meV/atom